Entry 1:
A relaxed structure of AgIr2Se, computed with PBE-GGA.

abc: 4.1142 4.1142 7.5739
angles: 90.00 90.00 90.00
Element x y z (fractional)
Ag: 0.0000 0.0000 0.0000
Ag: 0.5000 0.5000 0.5000
Ir: 0.0000 0.5000 0.2500
Ir: 0.0000 0.5000 0.7500
Ir: 0.5000 0.0000 0.2500
Ir: 0.5000 0.0000 0.7500
Se: 0.0000 0.0000 0.5000
Se: 0.5000 0.5000 0.0000

Results
The calculation puts the total energy at -5.3945 eV per atom. For the mass density, the calculation gives 14.80 g/cm³. As for the crystal system: tetragonal. The space group is I4/mmm (139). The raw formation energy is 2.48 eV/f.u.


Entry 2:
A relaxed structure of AgIrSe2, computed with PBE-GGA.

abc: 6.6102 6.6102 6.6102
angles: 90.00 90.00 90.00
Element x y z (fractional)
Ag: 0.0000 0.0000 0.0000
Ag: 0.0000 0.5000 0.5000
Ag: 0.5000 0.0000 0.5000
Ag: 0.5000 0.5000 0.0000
Ir: 0.2500 0.2500 0.2500
Ir: 0.2500 0.7500 0.7500
Ir: 0.7500 0.2500 0.7500
Ir: 0.7500 0.7500 0.2500
Se: 0.0000 0.0000 0.5000
Se: 0.0000 0.5000 0.0000
Se: 0.2500 0.2500 0.7500
Se: 0.2500 0.7500 0.2500
Se: 0.5000 0.0000 0.0000
Se: 0.5000 0.5000 0.5000
Se: 0.7500 0.2500 0.2500
Se: 0.7500 0.7500 0.7500

Results
The calculation puts the total energy at -3.9103 eV per atom. For the mass density, the calculation gives 10.53 g/cm³. As for the crystal system: cubic. The space group is F-43m (216). The raw formation energy is 3.04 eV/f.u.


Q: What is the raw formation energy in the second record?
A: 3.04 eV/f.u.


Q: Which formula does entry 1 have?
A: AgIr2Se


Q: Which of these has the highest raw formation energy?
A: AgIrSe2